(a)
A plane-wave DFT calculation with GGA-PBE was carried out for a geometry-optimized HoTlIn structure.

CIF file:
```
data_HoTlIn
_chemical_formula_sum 'Ho2 Tl2 In2'
_cell_length_a 7.555
_cell_length_b 7.555
_cell_length_c 4.697
_cell_angle_alpha 90.00
_cell_angle_beta 90.00
_cell_angle_gamma 144.12
_space_group_name_H-M_alt 'P 1'
_space_group_IT_number 1
loop_
_space_group_symop_operation_xyz
'x,y,z'
loop_
_atom_site_label
_atom_site_fract_x
_atom_site_fract_y
_atom_site_fract_z
Ho1 0.156 0.844 0.000
Ho2 0.844 0.156 0.000
Tl1 0.000 0.000 0.500
Tl2 0.500 0.500 0.000
In1 0.321 0.679 0.500
In2 0.679 0.321 0.500
```

(b)
A plane-wave DFT calculation with GGA-PBE was carried out for a geometry-optimized HoTlIn structure.

CIF file:
```
data_HoTlIn
_chemical_formula_sum 'Ho2 Tl2 In2'
_cell_length_a 7.632
_cell_length_b 7.632
_cell_length_c 4.614
_cell_angle_alpha 90.00
_cell_angle_beta 90.00
_cell_angle_gamma 144.52
_space_group_name_H-M_alt 'P 1'
_space_group_IT_number 1
loop_
_space_group_symop_operation_xyz
'x,y,z'
loop_
_atom_site_label
_atom_site_fract_x
_atom_site_fract_y
_atom_site_fract_z
Ho1 0.154 0.846 0.000
Ho2 0.846 0.154 0.000
Tl1 0.327 0.673 0.500
Tl2 0.673 0.327 0.500
In1 0.000 0.000 0.500
In2 0.500 0.500 0.000
```

(c)
A plane-wave DFT calculation with GGA-PBE was carried out for a geometry-optimized HoTlIn structure.

CIF file:
```
data_HoTlIn
_chemical_formula_sum 'Ho1 Tl1 In1'
_cell_length_a 4.995
_cell_length_b 4.995
_cell_length_c 4.995
_cell_angle_alpha 60.00
_cell_angle_beta 60.00
_cell_angle_gamma 60.00
_space_group_name_H-M_alt 'P 1'
_space_group_IT_number 1
loop_
_space_group_symop_operation_xyz
'x,y,z'
loop_
_atom_site_label
_atom_site_fract_x
_atom_site_fract_y
_atom_site_fract_z
Ho1 0.000 0.000 0.000
Tl1 0.250 0.250 0.250
In1 0.500 0.500 0.500
```

It comes down to (a), which is 0.020 eV/atom more stable than the next structure.